(1)
{
  "formula": "Li2OsPt",
  "functional": "PBE",
  "state": "relaxed",
  "lattice_angstrom": [[3.8791, 1.1754, 0.8053], [0.7658, 2.6001, 3.1194], [1.9071, -1.3614, 3.4040]],
  "species": ["Os", "Li", "Li", "Pt"],
  "frac_coords": [[0.0000, 0.0000, 0.0000], [0.7500, 0.7500, 0.7500], [0.2500, 0.2500, 0.2500], [0.5000, 0.5000, 0.5000]],
  "volume_a3_per_atom": 12.48,
  "de_polymorph_mev_per_atom": 549,
  "ef_ev_per_atom": 0.303,
  "m_tot_mub_per_fu": 0.00
}



(2)
{
  "formula": "LiOs2Pt",
  "functional": "PBE",
  "state": "relaxed",
  "lattice_angstrom": [[5.9241, 0.0092, -0.0002], [3.8012, 4.5438, 0.0002], [-4.4143, -3.2342, 2.2692]],
  "species": ["Os", "Pt", "Os", "Li"],
  "frac_coords": [[0.9637, 0.9637, 0.0000], [0.7500, 0.2500, 0.5000], [0.5363, 0.5363, 0.0000], [0.2500, 0.7500, 0.5000]],
  "volume_a3_per_atom": 15.25,
  "de_polymorph_mev_per_atom": 4,
  "ef_ev_per_atom": 0.015,
  "m_tot_mub_per_fu": 0.00
}



(3)
{
  "formula": "LiOs2Pt",
  "functional": "PBE",
  "state": "relaxed",
  "lattice_angstrom": [[-0.7690, -3.4955, 2.2672], [-0.2595, -1.9383, -3.0766], [3.5756, -0.6972, 0.1377]],
  "species": ["Li", "Os", "Os", "Pt"],
  "frac_coords": [[0.5000, 0.0000, 0.5000], [0.0000, 0.0000, 0.0000], [0.0000, 0.5000, 0.5000], [0.5000, 0.5000, 0.0000]],
  "volume_a3_per_atom": 14.08,
  "de_polymorph_mev_per_atom": 193,
  "ef_ev_per_atom": 0.205,
  "m_tot_mub_per_fu": 0.00
}



(4)
{
  "formula": "LiOs2Pt",
  "functional": "PBE",
  "state": "relaxed",
  "lattice_angstrom": [[4.6359, 0.0014, -0.0038], [3.8576, 2.5710, -0.0038], [0.6306, 0.1910, 4.7775]],
  "species": ["Li", "Os", "Pt", "Os"],
  "frac_coords": [[0.2451, 0.2451, 0.2791], [0.7537, 0.7537, 0.7909], [0.4931, 0.4931, 0.4597], [0.0082, 0.0082, 0.9702]],
  "volume_a3_per_atom": 14.23,
  "de_polymorph_mev_per_atom": 32,
  "ef_ev_per_atom": 0.044,
  "m_tot_mub_per_fu": 0.00
}